[1]
The following is a PBE with a Hubbard U calculation of crystalline LiMn2MoO6 at its relaxed geometry, from Alexandria.

abc: 5.1348 5.1667 5.6113
angles: 116.34 90.45 119.03
Last column: nearest neighbours and their distance in Å.
Space group P1 (No. 1)
Unique sites:
1 Li 0.0000 0.0000 0.0000  3 O 2.03-2.16
2 Mn 0.2030 0.4405 0.6405  6 O 1.93-2.04
3 Mn 0.7092 0.4600 0.1758  6 O 2.08-2.31
4 Mo 0.5116 0.0512 0.5720  6 O 1.90-2.09
5 O 0.1250 0.5896 0.3918  1 Mo 1.97, 2 Mn 1.99-2.08
6 O 0.3252 0.2763 0.8454  1 Mn 1.95, 1 Mo 2.03, 1 Li 2.09
7 O 0.3940 0.2378 0.3725  2 Mn 1.99-2.12, 1 Mo 2.01
8 O 0.5589 0.9073 0.8432  1 Mn 1.93, 1 Mo 2.03
9 O 0.7993 0.9736 0.3910  1 Mo 1.90, 1 Mn 2.04
10 O 0.9198 0.5226 0.8438  1 Mn 1.95, 1 Li 2.03, 1 Mo 2.09

Mass density ... 4.58 g cm⁻³
Total DFT energy (no corrections) ... -7.02 eV/atom

[2]
The following is a PBE with a Hubbard U calculation of crystalline LiMnMoO4 at its relaxed geometry, from Alexandria.

abc: 5.8971 6.1471 9.1748
angles: 90.00 90.00 90.00
Last column: nearest neighbours and their distance in Å.
Space group Imma (No. 74)
Unique sites:
1 Li 0.0000 0.2500 0.1393  4 O 2.00-2.12
2 Mn 0.2500 0.2500 0.7500  4 O 1.99
3 Mo 0.0000 0.0000 0.5000  6 O 2.06-2.12
4 O 0.0000 0.0351 0.7303  2 Mn 1.99, 1 Li 2.12, 1 Mo 2.12
5 O 0.2316 0.2500 0.4949  1 Li 2.00, 2 Mo 2.06

Mass density ... 4.43 g cm⁻³
Total DFT energy (no corrections) ... -6.93 eV/atom

[3]
The following is a PBE with a Hubbard U calculation of crystalline LiMn2MoO4 at its relaxed geometry, from Alexandria.

abc: 5.3640 3.2165 5.4242
angles: 90.00 107.53 90.00
Last column: nearest neighbours and their distance in Å.
Space group P2/m (No. 10)
Unique sites:
1 Li 0.0000 0.0000 0.0000  6 O 2.13-2.30
2 Mn 0.0000 0.5000 0.5000  6 O 2.16-2.32
3 Mn 0.5000 0.0000 0.5000  6 O 2.22-2.23
4 Mo 0.5000 0.5000 0.0000  6 O 2.19-2.21
5 O 0.2566 0.0000 0.7672  1 Li 2.13, 2 Mo 2.21, 3 Mn 2.22-2.32
6 O 0.2566 0.5000 0.2598  3 Mn 2.16-2.23, 1 Mo 2.19, 2 Li 2.30

Mass density ... 5.15 g cm⁻³
Total DFT energy (no corrections) ... -7.12 eV/atom

[4]
The following is a PBE with a Hubbard U calculation of crystalline Li2Mn2MoO6 at its relaxed geometry, from Alexandria.

abc: 5.1563 9.0041 5.2615
angles: 90.00 109.74 90.00
Last column: nearest neighbours and their distance in Å.
Space group C2/m (No. 12)
Unique sites:
1 Li 0.0000 0.1824 0.0000  6 O 2.07-2.31
2 Mn 0.0000 0.3353 0.5000  6 O 1.96-2.05
3 Mo 0.0000 0.0000 0.5000  6 O 2.03-2.10
4 O 0.2366 0.1779 0.7161  2 Mn 1.96-2.05, 1 Li 2.07, 1 Mo 2.10
5 O 0.2411 0.5000 0.7176  2 Mn 2.02, 1 Mo 2.03

Mass density ... 4.56 g cm⁻³
Total DFT energy (no corrections) ... -6.57 eV/atom

[5]
The following is a PBE with a Hubbard U calculation of crystalline Li2MnMoO4 at its relaxed geometry, from Alexandria.

abc: 5.4072 3.0062 5.5662
angles: 90.00 113.22 90.00
Last column: nearest neighbours and their distance in Å.
Space group P2/m (No. 10)
Unique sites:
1 Li 0.0000 0.0000 0.0000  6 O 2.20-2.27
2 Li 0.0000 0.5000 0.5000  4 O 2.14
3 Mn 0.5000 0.0000 0.5000  6 O 2.07-2.31
4 Mo 0.5000 0.5000 0.0000  6 O 2.12-2.14
5 O 0.2488 0.0000 0.7540  2 Mo 2.12, 3 Li 2.14-2.27, 1 Mn 2.31
6 O 0.2824 0.5000 0.2488  2 Mn 2.07, 1 Mo 2.14, 2 Li 2.20

Mass density ... 4.57 g cm⁻³
Total DFT energy (no corrections) ... -6.55 eV/atom